Run i
Ac2SnHg GGA-PBE optimized geometry; SG = Fm-3m (225)
1.0
0.000 4.075 4.075
4.075 0.000 4.075
4.075 4.075 0.000
Ac Sn Hg
2 1 1
Cartesian
2.038 2.038 2.038
6.113 6.113 6.113
0.000 0.000 0.000
4.075 4.075 4.075



Run ii
Ac2SnHg GGA-PBE optimized geometry; SG = P4/mmm (123)
1.0
5.623 0.000 0.000
0.000 5.623 0.000
0.000 0.000 4.287
Ac Sn Hg
2 1 1
Cartesian
0.000 2.811 0.000
2.811 0.000 0.000
0.000 0.000 2.144
2.811 2.811 2.144



The most stable arrangement is run ii, and the next structure is 9 meV/atom less stable.